# 1
Entry from Alexandria: crystalline Ce5BN6 at its relaxed geometry (GGA-PBE).

- Symmetry: C2/m, No. 12
- E: -96.61 eV per formula unit

Unit cell a=6.090 b=6.090 c=6.247 alpha=102.95 beta=102.95 gamma=112.92
Atoms (fractional coordinates):
Ce (0.000, 0.000, 0.000)
Ce (0.180, 0.820, 0.500)
Ce (0.354, 0.646, 0.000)
Ce (0.646, 0.354, 0.000)
Ce (0.820, 0.180, 0.500)
B (0.500, 0.500, 0.500)
N (0.004, 0.613, 0.761)
N (0.177, 0.177, 0.764)
N (0.387, 0.996, 0.239)
N (0.613, 0.004, 0.761)
N (0.823, 0.823, 0.236)
N (0.996, 0.387, 0.239)


# 2
Entry from Alexandria: crystalline Ce6BN8 at its relaxed geometry (GGA-PBE).

- Symmetry: R-3, No. 148
- E: -123.79 eV per formula unit

Unit cell a=6.889 b=6.889 c=6.889 alpha=59.33 beta=59.33 gamma=59.33
Atoms (fractional coordinates):
Ce (0.051, 0.767, 0.431)
Ce (0.233, 0.569, 0.949)
Ce (0.431, 0.051, 0.767)
Ce (0.569, 0.949, 0.233)
Ce (0.767, 0.431, 0.051)
Ce (0.949, 0.233, 0.569)
B (0.500, 0.500, 0.500)
N (0.091, 0.373, 0.699)
N (0.180, 0.180, 0.180)
N (0.301, 0.909, 0.627)
N (0.373, 0.699, 0.091)
N (0.627, 0.301, 0.909)
N (0.699, 0.091, 0.373)
N (0.820, 0.820, 0.820)
N (0.909, 0.627, 0.301)


# 3
Entry from Alexandria: crystalline Ce3B2N6 at its relaxed geometry (GGA-PBE).

- Symmetry: I4/mmm, No. 139
- E: -89.83 eV per formula unit

Unit cell a=9.715 b=9.715 c=9.715 alpha=158.50 beta=158.50 gamma=30.58
Atoms (fractional coordinates):
Ce (0.000, 0.000, 0.000)
Ce (0.177, 0.177, 0.000)
Ce (0.823, 0.823, 0.000)
B (0.388, 0.388, 0.000)
B (0.612, 0.612, 0.000)
N (0.087, 0.587, 0.500)
N (0.306, 0.306, 0.000)
N (0.413, 0.913, 0.500)
N (0.587, 0.087, 0.500)
N (0.694, 0.694, 0.000)
N (0.913, 0.413, 0.500)


# 4
Entry from Alexandria: crystalline CeB3N3 at its relaxed geometry (GGA-PBE).

- Symmetry: Pm-3n, No. 223
- E: -49.62 eV per formula unit

Unit cell a=4.855 b=4.855 c=4.855 alpha=90.00 beta=90.00 gamma=90.00
Atoms (fractional coordinates):
Ce (0.000, 0.000, 0.000)
Ce (0.500, 0.500, 0.500)
B (0.000, 0.250, 0.500)
B (0.000, 0.750, 0.500)
B (0.250, 0.500, 0.000)
B (0.500, 0.000, 0.250)
B (0.500, 0.000, 0.750)
B (0.750, 0.500, 0.000)
N (0.000, 0.500, 0.250)
N (0.000, 0.500, 0.750)
N (0.250, 0.000, 0.500)
N (0.500, 0.250, 0.000)
N (0.500, 0.750, 0.000)
N (0.750, 0.000, 0.500)


# 5
Entry from Alexandria: crystalline CeBN2 at its relaxed geometry (GGA-PBE).

- Symmetry: R-3m, No. 166
- E: -26.08 eV per formula unit

Unit cell a=6.208 b=6.208 c=6.208 alpha=26.74 beta=26.74 gamma=26.74
Atoms (fractional coordinates):
Ce (0.000, 0.000, 0.000)
B (0.500, 0.500, 0.500)
N (0.120, 0.120, 0.120)
N (0.880, 0.880, 0.880)


# 6
Entry from Alexandria: crystalline CeBN3 at its relaxed geometry (GGA-PBE).

- Symmetry: P2_1/m, No. 11
- E: -40.42 eV per formula unit

Unit cell a=5.274 b=3.643 c=6.928 alpha=90.00 beta=106.46 gamma=90.00
Atoms (fractional coordinates):
Ce (0.219, 0.250, 0.230)
Ce (0.781, 0.750, 0.770)
B (0.239, 0.250, 0.720)
B (0.761, 0.750, 0.280)
N (0.027, 0.250, 0.518)
N (0.115, 0.250, 0.880)
N (0.491, 0.750, 0.280)
N (0.509, 0.250, 0.720)
N (0.885, 0.750, 0.120)
N (0.973, 0.750, 0.482)


# 7
Entry from Alexandria: crystalline Ce3NbB2N6 at its relaxed geometry (GGA-PBE).

- Symmetry: P-3m1, No. 164
- E: -104.37 eV per formula unit

Unit cell a=5.464 b=5.464 c=6.188 alpha=90.00 beta=90.00 gamma=120.00
Atoms (fractional coordinates):
Ce (0.000, 0.000, 0.000)
Ce (0.333, 0.667, 0.660)
Ce (0.667, 0.333, 0.340)
Nb (0.000, 0.000, 0.500)
B (0.333, 0.667, 0.252)
B (0.667, 0.333, 0.748)
N (0.180, 0.360, 0.288)
N (0.180, 0.820, 0.288)
N (0.360, 0.180, 0.712)
N (0.640, 0.820, 0.288)
N (0.820, 0.180, 0.712)
N (0.820, 0.640, 0.712)


# 8
Entry from Alexandria: crystalline Ce3NiB2N6 at its relaxed geometry (GGA-PBE).

- Symmetry: P-3m1, No. 164
- E: -97.73 eV per formula unit

Unit cell a=5.345 b=5.345 c=6.027 alpha=90.00 beta=90.00 gamma=120.00
Atoms (fractional coordinates):
Ce (0.000, 0.000, 0.000)
Ce (0.333, 0.667, 0.669)
Ce (0.667, 0.333, 0.331)
Ni (0.000, 0.000, 0.500)
B (0.333, 0.667, 0.249)
B (0.667, 0.333, 0.751)
N (0.177, 0.354, 0.275)
N (0.177, 0.823, 0.275)
N (0.354, 0.177, 0.725)
N (0.646, 0.823, 0.275)
N (0.823, 0.177, 0.725)
N (0.823, 0.646, 0.725)


# 9
Entry from Alexandria: crystalline CeBP2N6 at its relaxed geometry (GGA-PBE).

- Symmetry: C2/c, No. 15
- E: -79.36 eV per formula unit

Unit cell a=6.729 b=6.729 c=5.632 alpha=111.00 beta=111.00 gamma=83.11
Atoms (fractional coordinates):
Ce (0.166, 0.834, 0.750)
Ce (0.834, 0.166, 0.250)
B (0.205, 0.795, 0.250)
B (0.795, 0.205, 0.750)
P (0.216, 0.369, 0.848)
P (0.369, 0.216, 0.348)
P (0.631, 0.784, 0.652)
P (0.784, 0.631, 0.152)
N (0.008, 0.211, 0.701)
N (0.193, 0.618, 0.989)
N (0.211, 0.008, 0.201)
N (0.260, 0.374, 0.574)
N (0.374, 0.260, 0.074)
N (0.382, 0.807, 0.511)
N (0.618, 0.193, 0.489)
N (0.626, 0.740, 0.926)
N (0.740, 0.626, 0.426)
N (0.789, 0.992, 0.799)
N (0.807, 0.382, 0.011)
N (0.992, 0.789, 0.299)


# 10
Entry from Alexandria: crystalline CePa2BN5 at its relaxed geometry (GGA-PBE).

- Symmetry: P4/mbm, No. 127
- E: -82.98 eV per formula unit

Unit cell a=6.477 b=6.477 c=5.376 alpha=90.00 beta=90.00 gamma=90.00
Atoms (fractional coordinates):
Ce (0.000, 0.000, 0.000)
Ce (0.500, 0.500, 0.000)
Pa (0.175, 0.325, 0.500)
Pa (0.325, 0.825, 0.500)
Pa (0.675, 0.175, 0.500)
Pa (0.825, 0.675, 0.500)
B (0.000, 0.500, 0.000)
B (0.500, 0.000, 0.000)
N (0.000, 0.000, 0.500)
N (0.134, 0.634, 0.222)
N (0.134, 0.634, 0.778)
N (0.366, 0.134, 0.222)
N (0.366, 0.134, 0.778)
N (0.500, 0.500, 0.500)
N (0.634, 0.866, 0.222)
N (0.634, 0.866, 0.778)
N (0.866, 0.366, 0.222)
N (0.866, 0.366, 0.778)


# 11
Entry from Alexandria: crystalline Ce3PaB2N6 at its relaxed geometry (GGA-PBE).

- Symmetry: P-3m1, No. 164
- E: -103.91 eV per formula unit

Unit cell a=5.646 b=5.646 c=6.457 alpha=90.00 beta=90.00 gamma=120.00
Atoms (fractional coordinates):
Ce (0.000, 0.000, 0.000)
Ce (0.333, 0.667, 0.654)
Ce (0.667, 0.333, 0.346)
Pa (0.000, 0.000, 0.500)
B (0.333, 0.667, 0.246)
B (0.667, 0.333, 0.754)
N (0.185, 0.370, 0.286)
N (0.185, 0.815, 0.286)
N (0.370, 0.185, 0.714)
N (0.630, 0.815, 0.286)
N (0.815, 0.185, 0.714)
N (0.815, 0.630, 0.714)


# 12
Entry from Alexandria: crystalline Ce3B2RuN6 at its relaxed geometry (GGA-PBE).

- Symmetry: P-3m1, No. 164
- E: -101.38 eV per formula unit

Unit cell a=5.307 b=5.307 c=6.289 alpha=90.00 beta=90.00 gamma=120.00
Atoms (fractional coordinates):
Ce (0.000, 0.000, 0.000)
Ce (0.333, 0.667, 0.667)
Ce (0.667, 0.333, 0.333)
B (0.333, 0.667, 0.258)
B (0.667, 0.333, 0.742)
Ru (0.000, 0.000, 0.500)
N (0.175, 0.351, 0.275)
N (0.175, 0.825, 0.275)
N (0.351, 0.175, 0.725)
N (0.649, 0.825, 0.275)
N (0.825, 0.175, 0.725)
N (0.825, 0.649, 0.725)


# 13
Entry from Alexandria: crystalline Ce3ScB2N6 at its relaxed geometry (GGA-PBE).

- Symmetry: P-3m1, No. 164
- E: -102.48 eV per formula unit

Unit cell a=5.473 b=5.473 c=6.214 alpha=90.00 beta=90.00 gamma=120.00
Atoms (fractional coordinates):
Ce (0.000, 0.000, 0.000)
Ce (0.333, 0.667, 0.663)
Ce (0.667, 0.333, 0.337)
Sc (0.000, 0.000, 0.500)
B (0.333, 0.667, 0.250)
B (0.667, 0.333, 0.750)
N (0.180, 0.361, 0.280)
N (0.180, 0.820, 0.280)
N (0.361, 0.180, 0.720)
N (0.639, 0.820, 0.280)
N (0.820, 0.180, 0.720)
N (0.820, 0.639, 0.720)


# 14
Entry from Alexandria: crystalline Ce3SiB2N6 at its relaxed geometry (GGA-PBE).

- Symmetry: P-3m1, No. 164
- E: -98.49 eV per formula unit

Unit cell a=5.162 b=5.162 c=6.324 alpha=90.00 beta=90.00 gamma=120.00
Atoms (fractional coordinates):
Ce (0.000, 0.000, 0.000)
Ce (0.333, 0.667, 0.673)
Ce (0.667, 0.333, 0.327)
Si (0.000, 0.000, 0.500)
B (0.333, 0.667, 0.274)
B (0.667, 0.333, 0.726)
N (0.170, 0.340, 0.313)
N (0.170, 0.830, 0.313)
N (0.340, 0.170, 0.687)
N (0.660, 0.830, 0.313)
N (0.830, 0.170, 0.687)
N (0.830, 0.660, 0.687)


# 15
Entry from Alexandria: crystalline Ce3TaB2N6 at its relaxed geometry (GGA-PBE).

- Symmetry: P-3m1, No. 164
- E: -106.54 eV per formula unit

Unit cell a=5.425 b=5.425 c=6.276 alpha=90.00 beta=90.00 gamma=120.00
Atoms (fractional coordinates):
Ce (0.000, 0.000, 0.000)
Ce (0.333, 0.667, 0.661)
Ce (0.667, 0.333, 0.339)
Ta (0.000, 0.000, 0.500)
B (0.333, 0.667, 0.256)
B (0.667, 0.333, 0.744)
N (0.179, 0.357, 0.296)
N (0.179, 0.821, 0.296)
N (0.357, 0.179, 0.704)
N (0.643, 0.821, 0.296)
N (0.821, 0.179, 0.704)
N (0.821, 0.643, 0.704)


# 16
Entry from Alexandria: crystalline Ce3TiB2N6 at its relaxed geometry (GGA-PBE).

- Symmetry: P-3m1, No. 164
- E: -103.66 eV per formula unit

Unit cell a=5.382 b=5.382 c=6.151 alpha=90.00 beta=90.00 gamma=120.00
Atoms (fractional coordinates):
Ce (0.000, 0.000, 0.000)
Ce (0.333, 0.667, 0.660)
Ce (0.667, 0.333, 0.340)
Ti (0.000, 0.000, 0.500)
B (0.333, 0.667, 0.252)
B (0.667, 0.333, 0.748)
N (0.178, 0.356, 0.292)
N (0.178, 0.822, 0.292)
N (0.356, 0.178, 0.708)
N (0.644, 0.822, 0.292)
N (0.822, 0.178, 0.708)
N (0.822, 0.644, 0.708)


# 17
Entry from Alexandria: crystalline Ce3TmB2N6 at its relaxed geometry (GGA-PBE).

- Symmetry: P-3m1, No. 164
- E: -100.02 eV per formula unit

Unit cell a=5.566 b=5.566 c=6.298 alpha=90.00 beta=90.00 gamma=120.00
Atoms (fractional coordinates):
Ce (0.000, 0.000, 0.000)
Ce (0.333, 0.667, 0.665)
Ce (0.667, 0.333, 0.335)
Tm (0.000, 0.000, 0.500)
B (0.333, 0.667, 0.246)
B (0.667, 0.333, 0.754)
N (0.183, 0.366, 0.272)
N (0.183, 0.817, 0.272)
N (0.366, 0.183, 0.728)
N (0.634, 0.817, 0.272)
N (0.817, 0.183, 0.728)
N (0.817, 0.634, 0.728)


# 18
Entry from Alexandria: crystalline Ce3VB2N6 at its relaxed geometry (GGA-PBE).

- Symmetry: P-3m1, No. 164
- E: -103.64 eV per formula unit

Unit cell a=5.334 b=5.334 c=6.127 alpha=90.00 beta=90.00 gamma=120.00
Atoms (fractional coordinates):
Ce (0.000, 0.000, 0.000)
Ce (0.333, 0.667, 0.661)
Ce (0.667, 0.333, 0.339)
V (0.000, 0.000, 0.500)
B (0.333, 0.667, 0.254)
B (0.667, 0.333, 0.746)
N (0.176, 0.353, 0.291)
N (0.176, 0.824, 0.291)
N (0.353, 0.176, 0.709)
N (0.647, 0.824, 0.291)
N (0.824, 0.176, 0.709)
N (0.824, 0.647, 0.709)


# 19
Entry from Alexandria: crystalline Ce3YB2N6 at its relaxed geometry (GGA-PBE).

- Symmetry: P-3m1, No. 164
- E: -101.44 eV per formula unit

Unit cell a=5.599 b=5.599 c=6.327 alpha=90.00 beta=90.00 gamma=120.00
Atoms (fractional coordinates):
Ce (0.000, 0.000, 0.000)
Ce (0.333, 0.667, 0.667)
Ce (0.667, 0.333, 0.333)
Y (0.000, 0.000, 0.500)
B (0.333, 0.667, 0.244)
B (0.667, 0.333, 0.756)
N (0.184, 0.367, 0.267)
N (0.184, 0.816, 0.267)
N (0.367, 0.184, 0.733)
N (0.633, 0.816, 0.267)
N (0.816, 0.184, 0.733)
N (0.816, 0.633, 0.733)


# 20
Entry from Alexandria: crystalline Ce3ZrB2N6 at its relaxed geometry (GGA-PBE).

- Symmetry: P-3m1, No. 164
- E: -103.88 eV per formula unit

Unit cell a=5.518 b=5.518 c=6.292 alpha=90.00 beta=90.00 gamma=120.00
Atoms (fractional coordinates):
Ce (0.000, 0.000, 0.000)
Ce (0.333, 0.667, 0.660)
Ce (0.667, 0.333, 0.340)
Zr (0.000, 0.000, 0.500)
B (0.333, 0.667, 0.250)
B (0.667, 0.333, 0.750)
N (0.182, 0.363, 0.283)
N (0.182, 0.818, 0.283)
N (0.363, 0.182, 0.717)
N (0.637, 0.818, 0.283)
N (0.818, 0.182, 0.717)
N (0.818, 0.637, 0.717)